DFT (PBE-GGA) results for a relaxed PaTiSb3 crystal.

The structure in POSCAR format:
```
PaTiSb3
1.0
12.7397 0.0000 0.0000
0.0000 6.3413 0.0000
0.0000 0.0000 6.1543
Pa Ti Sb
4 4 12
Cartesian
2.3950 0.0233 1.5386 Pa
2.3950 3.1473 4.6157 Pa
10.3447 3.1940 1.5386 Pa
10.3447 6.3180 4.6157 Pa
5.1399 4.7560 0.0000 Ti
5.1399 4.7560 3.0772 Ti
7.5997 1.5853 0.0000 Ti
7.5997 1.5853 3.0772 Ti
0.0195 4.7560 0.0000 Sb
0.0195 4.7560 3.0772 Sb
3.2857 3.1951 1.5386 Sb
3.2857 6.3168 4.6157 Sb
5.4489 0.6949 1.5386 Sb
5.4489 2.4757 4.6157 Sb
7.2907 3.8655 1.5386 Sb
7.2907 5.6464 4.6157 Sb
9.4540 0.0245 1.5386 Sb
9.4540 3.1462 4.6157 Sb
12.7201 1.5853 0.0000 Sb
12.7201 1.5853 3.0772 Sb
```

## Properties
volume	24.86	Å³ per atom
uncorrected formation energy	-0.47	eV per atom
crystal system	orthorhombic

DFT (PBE-GGA) results for a relaxed PaTiSb2 crystal.

The structure in POSCAR format:
```
PaTiSb2
1.0
5.0183 0.0000 0.0000
0.0000 5.0183 0.0000
0.0000 0.0000 3.7304
Pa Ti Sb
1 1 2
Cartesian
0.0000 0.0000 0.0000 Pa
2.5091 2.5091 0.0000 Ti
0.0000 2.5091 1.8652 Sb
2.5091 0.0000 1.8652 Sb
```

## Properties
ΔE to the lowest computed polymorph	0.18	eV/f.u.
volume	23.49	Å³ per atom
uncorrected formation energy	-0.35	eV per atom
crystal system	tetragonal

DFT (PBE-GGA) results for a relaxed PaTlSb2 crystal.

The structure in POSCAR format:
```
PaTlSb2
1.0
4.9959 0.0000 0.0000
0.0000 4.9959 0.0000
0.0000 0.0000 4.1707
Pa Tl Sb
1 1 2
Cartesian
0.0000 0.0000 0.0000 Pa
2.4980 2.4980 0.0000 Tl
0.0000 2.4980 2.0854 Sb
2.4980 0.0000 2.0854 Sb
```

## Properties
ΔE to the lowest computed polymorph	0.16	eV/f.u.
volume	26.02	Å³ per atom
uncorrected formation energy	-0.26	eV per atom
crystal system	tetragonal

DFT (PBE-GGA) results for a relaxed Pa2TlSb crystal.

The structure in POSCAR format:
```
Pa2TlSb
1.0
4.4043 0.0000 0.0000
-2.2021 3.8142 0.0000
0.0000 0.0000 21.2980
Pa Tl Sb
6 3 3
Cartesian
0.0000 0.0000 5.3327 Pa
0.0000 0.0000 15.9653 Pa
0.0000 2.5428 8.8660 Pa
0.0000 2.5428 19.5314 Pa
2.2022 1.2714 1.7666 Pa
2.2022 1.2714 12.4320 Pa
0.0000 0.0000 10.6490 Tl
0.0000 2.5428 3.5497 Tl
2.2022 1.2714 17.7483 Tl
0.0000 0.0000 0.0000 Sb
0.0000 2.5428 14.1987 Sb
2.2022 1.2714 7.0993 Sb
```

## Properties
ΔE to the lowest computed polymorph	0.61	eV/f.u.
volume	29.82	Å³ per atom
uncorrected formation energy	0.09	eV per atom
crystal system	trigonal

- Among the records above, which one has the lowest uncorrected formation energy?
  PaTiSb3